1.
## DyYTm2Te6 (PBE)

Data for crystalline DyYTm2Te6 at its relaxed geometry.

Computed properties:
For the magnetization, the calculation gives 0.000 μB/atom. As for the formation energy (no corrections): -1.3518 eV/atom. As for the space group: R3, No. 146. For the total energy, the calculation gives -52.377 eV for the cell shown.

```
DyYTm2Te6
1.0
3.825 2.209 6.983
-3.825 2.209 6.983
0.000 -4.417 6.983
Dy Y Tm Te
1 1 2 6
direct
0.000 0.000 0.000
0.500 0.500 0.500
0.315 0.315 0.315
0.815 0.815 0.815
0.089 0.412 0.718
0.217 0.913 0.589
0.412 0.718 0.089
0.589 0.217 0.913
0.718 0.089 0.412
0.913 0.589 0.217
```

---

2.
## CsSc2Bi2 (PBE)

Data for crystalline CsSc2Bi2 at its relaxed geometry.

Computed properties:
For the magnetization, the calculation gives 0.214 μB/atom. As for the space group: P4/mbm, No. 127. For the total energy, the calculation gives -45.682 eV for the cell shown. The value obtained for the polymorph energy (0 for the lowest one) is 0.212 eV/atom.

```
CsSc2Bi2
1.0
9.146 0.000 0.000
0.000 9.146 0.000
0.000 0.000 3.680
Cs Sc Bi
2 4 4
direct
0.000 0.000 0.000
0.500 0.500 0.000
0.118 0.382 0.000
0.382 0.882 0.000
0.618 0.118 0.000
0.882 0.618 0.000
0.161 0.661 0.500
0.339 0.161 0.500
0.661 0.839 0.500
0.839 0.339 0.500
```

---

3.
## YReSi2F (PBE)

Data for crystalline YReSi2F at its relaxed geometry.

Computed properties:
For the magnetization, the calculation gives 0.000 μB/atom. As for the formation energy (no corrections): 0.1634 eV/atom. As for the space group: P4/mmm, No. 123. For the total energy, the calculation gives -30.812 eV for the cell shown.

```
YReSi2F
1.0
4.571 0.000 0.000
0.000 4.571 0.000
0.000 0.000 4.043
Y Re Si F
1 1 2 1
direct
0.000 0.000 0.000
0.500 0.500 0.000
0.000 0.500 0.500
0.500 0.000 0.500
0.500 0.500 0.500
```